This record from the Alexandria database describes an optimized crystal structure of BeCdOs2. The functional is PBE-GGA.

```
BeCdOs2
1.0
4.4905 -0.0004 0.0000
0.7204 4.4323 0.0000
-2.6055 -2.2160 2.9096
Be Os Cd
1 2 1
Direct
0.5000 0.5000 0.0000 Be
0.0000 0.0000 0.0000 Os
0.2500 0.7500 0.5000 Os
0.7500 0.2500 0.5000 Cd
```

Values from the calculation:
* DOS(E_F): 0.7058 states/eV/atom
* energy above the lowest structure with this stoichiometry: 0.430 eV per atom
* SG: I-4m2, No. 119
* energy of formation from the pure elements: 0.580 eV/atom